{
  "formula": "Ac8SbRh3I4",
  "functional": "PBE-GGA",
  "state": "optimized geometry",
  "formation_energy_uncorrected_mev_per_atom": -987,
  "spacegroup": "R-3m",
  "n_ef_per_ev_cell": 8.55,
  "crystal_system": "trigonal",
  "lattice": [[-9.050, 0.766, 0.237], [-0.393, -6.893, 7.259], [5.216, 7.284, 1.510]],
  "species": ["Ac", "Ac", "Ac", "Ac", "Ac", "Ac", "Ac", "Ac", "Sb", "Rh", "Rh", "Rh", "I", "I", "I", "I"],
  "fractional_positions": [[0.243, 0.689, 0.946], [0.243, 0.689, 0.486], [0.271, 0.312, 0.541], [0.703, 0.689, 0.946], [0.297, 0.311, 0.054], [0.729, 0.688, 0.459], [0.757, 0.311, 0.514], [0.757, 0.311, 0.054], [0.000, 0.500, 0.000], [0.500, 0.500, 0.000], [0.500, 0.500, 0.500], [0.000, 0.500, 0.500], [0.500, 0.000, 0.000], [0.500, 0.000, 0.500], [0.000, 0.000, 0.000], [0.000, 0.000, 0.500]]
}

=====

{
  "formula": "Pr4DyEr3S8",
  "functional": "PBE-GGA",
  "state": "optimized geometry",
  "formation_energy_uncorrected_mev_per_atom": -2001,
  "spacegroup": "R-3m",
  "n_ef_per_ev_cell": 6.17,
  "crystal_system": "trigonal",
  "lattice": [[7.879, 0.000, 0.000], [0.000, 8.096, 0.147], [-3.940, -3.935, 5.574]],
  "species": ["Pr", "Pr", "Pr", "Pr", "Dy", "Er", "Er", "Er", "S", "S", "S", "S", "S", "S", "S", "S"],
  "fractional_positions": [[0.500, 0.000, 0.000], [0.500, 0.000, 0.500], [0.000, 0.000, 0.000], [0.000, 0.000, 0.500], [0.000, 0.500, 0.000], [0.500, 0.500, 0.000], [0.500, 0.500, 0.500], [0.000, 0.500, 0.500], [0.243, 0.727, 0.984], [0.243, 0.727, 0.487], [0.258, 0.274, 0.516], [0.740, 0.727, 0.984], [0.260, 0.273, 0.016], [0.742, 0.726, 0.484], [0.757, 0.273, 0.513], [0.757, 0.273, 0.016]]
}

=====

{
  "formula": "CrTeRh2",
  "functional": "PBE-GGA",
  "state": "optimized geometry",
  "formation_energy_uncorrected_mev_per_atom": 397,
  "spacegroup": "R3m",
  "n_ef_per_ev_cell": 4.96,
  "crystal_system": "trigonal",
  "lattice": [[-3.607, -5.158, 5.461], [-1.392, -6.978, 4.337], [-0.756, -5.008, 6.617]],
  "species": ["Cr", "Rh", "Rh", "Te"],
  "fractional_positions": [[0.745, 0.745, 0.745], [0.006, 0.006, 0.006], [0.249, 0.249, 0.249], [0.500, 0.500, 0.500]]
}

=====

{
  "formula": "Pu2ThPd6",
  "functional": "PBE-GGA",
  "state": "optimized geometry",
  "spacegroup": "P-3m1",
  "n_ef_per_ev_cell": 30.34,
  "ef_mev_per_atom": -500,
  "crystal_system": "trigonal",
  "lattice": [[5.696, -0.026, -0.015], [0.027, 6.167, 0.008], [0.027, 3.080, 5.343]],
  "species": ["Pu", "Pu", "Th", "Pd", "Pd", "Pd", "Pd", "Pd", "Pd"],
  "fractional_positions": [[0.818, 0.667, 0.667], [0.182, 0.333, 0.333], [0.000, 0.000, 0.000], [0.330, 0.371, 0.814], [0.329, 0.814, 0.814], [0.330, 0.814, 0.371], [0.670, 0.629, 0.186], [0.671, 0.186, 0.186], [0.670, 0.186, 0.629]]
}

=====

{
  "formula": "Rb2CrI4",
  "functional": "PBE-GGA",
  "state": "optimized geometry",
  "formation_energy_uncorrected_mev_per_atom": -927,
  "spacegroup": "P2_1/m",
  "de_polymorph_ev_per_fu": 0.32,
  "n_ef_per_ev_cell": 11.93,
  "crystal_system": "monoclinic",
  "lattice": [[7.971, 0.000, -0.264], [0.000, 8.180, 0.000], [-3.239, 0.000, 10.120]],
  "species": ["Rb", "Rb", "Rb", "Rb", "Cr", "Cr", "I", "I", "I", "I", "I", "I", "I", "I"],
  "fractional_positions": [[0.711, 0.750, 0.049], [0.289, 0.250, 0.951], [0.226, 0.250, 0.428], [0.774, 0.750, 0.572], [0.275, 0.750, 0.201], [0.725, 0.250, 0.799], [0.503, 0.496, 0.265], [0.120, 0.750, 0.933], [0.880, 0.250, 0.067], [0.503, 0.004, 0.265], [0.909, 0.250, 0.627], [0.497, 0.996, 0.735], [0.497, 0.504, 0.735], [0.091, 0.750, 0.373]]
}

=====

{
  "formula": "LaGeAs2Se",
  "functional": "PBE-GGA",
  "state": "optimized geometry",
  "formation_energy_uncorrected_mev_per_atom": 508,
  "spacegroup": "P4/mmm",
  "de_polymorph_ev_per_fu": 4.11,
  "n_ef_per_ev_cell": 7.00,
  "crystal_system": "tetragonal",
  "lattice": [[-2.474, 1.372, 4.899], [-4.989, -1.723, -2.037], [0.993, -5.190, 1.955]],
  "species": ["As", "As", "Ge", "Se", "La"],
  "fractional_positions": [[0.000, 0.500, 0.000], [0.500, 0.000, 0.000], [0.500, 0.500, 0.500], [0.000, 0.000, 0.500], [0.000, 0.000, 0.000]]
}

=====

Which formula does entry 3 have?
CrTeRh2

=====

Copy entry 5 word for word.
{
  "formula": "Rb2CrI4",
  "functional": "PBE-GGA",
  "state": "optimized geometry",
  "formation_energy_uncorrected_mev_per_atom": -927,
  "spacegroup": "P2_1/m",
  "de_polymorph_ev_per_fu": 0.32,
  "n_ef_per_ev_cell": 11.93,
  "crystal_system": "monoclinic",
  "lattice": [[7.971, 0.000, -0.264], [0.000, 8.180, 0.000], [-3.239, 0.000, 10.120]],
  "species": ["Rb", "Rb", "Rb", "Rb", "Cr", "Cr", "I", "I", "I", "I", "I", "I", "I", "I"],
  "fractional_positions": [[0.711, 0.750, 0.049], [0.289, 0.250, 0.951], [0.226, 0.250, 0.428], [0.774, 0.750, 0.572], [0.275, 0.750, 0.201], [0.725, 0.250, 0.799], [0.503, 0.496, 0.265], [0.120, 0.750, 0.933], [0.880, 0.250, 0.067], [0.503, 0.004, 0.265], [0.909, 0.250, 0.627], [0.497, 0.996, 0.735], [0.497, 0.504, 0.735], [0.091, 0.750, 0.373]]
}